[1]
BaInSnPt2 (PBE-GGA, relaxed); ΔE to the lowest computed polymorph = 13 kJ/mol of formula units; SG = P4/nmm, No. 129
1.0
-3.477 2.277 -2.515
-1.813 -4.291 -1.377
-6.279 -0.103 8.588
Pt Ba In Sn
4 2 2 2
Direct
0.500 0.500 0.000
0.000 0.500 0.622
0.000 0.000 0.000
0.500 0.000 0.378
0.500 0.000 0.762
0.000 0.500 0.238
0.000 0.500 0.880
0.500 0.000 0.120
0.000 0.000 0.500
0.500 0.500 0.500

[2]
Li4Cd2InSn (PBE-GGA, relaxed); VASP energy = -2.333 eV/atom; SG = P-4m2, No. 115
1.0
-0.007 -0.399 4.683
-0.777 -4.619 -0.394
6.588 -1.101 -0.084
Li Sn Cd In
4 1 2 1
Direct
0.000 0.500 0.249
0.500 0.000 0.751
0.500 0.500 0.000
0.000 0.000 0.500
0.500 0.500 0.500
0.500 0.000 0.245
0.000 0.500 0.755
0.000 0.000 0.000

[3]
Er2Tm2Al3 (PBE-GGA, relaxed); VASP energy = -4.301 eV/atom; SG = C2/m, No. 12
1.0
7.639 -1.686 0.000
7.639 1.686 0.000
-2.480 0.000 6.839
Er Al Tm
2 3 2
Direct
0.427 0.427 0.761
0.573 0.573 0.239
0.000 0.000 0.500
0.739 0.739 0.647
0.261 0.261 0.353
0.855 0.855 0.110
0.145 0.145 0.890

[4]
GaCoMo2 (PBE-GGA, relaxed); VASP energy = -7.868 eV/atom; SG = F-43m, No. 216
1.0
0.000 3.054 3.054
3.054 0.000 3.054
3.054 3.054 0.000
Co Mo Ga
1 2 1
Direct
0.250 0.250 0.250
0.750 0.750 0.750
0.000 0.000 0.000
0.500 0.500 0.500

[5]
Sc2Zn2CdAgAu2 (PBE-GGA, relaxed); E_form = -0.4257 eV/atom; SG = P-4m2, No. 115
1.0
-2.666 2.281 3.099
0.413 -3.579 2.990
5.413 2.796 2.599
Zn Ag Au Sc Cd
2 1 2 2 1
Direct
0.000 0.500 0.756
0.500 0.000 0.244
0.000 0.000 0.000
0.000 0.000 0.500
0.500 0.500 0.000
0.000 0.500 0.243
0.500 0.000 0.757
0.500 0.500 0.500

[6]
Hf4FeBiN2 (PBE-GGA, relaxed); VASP energy = -9.371 eV/atom; SG = P-6m2, No. 187
1.0
3.230 0.000 0.000
-1.615 2.797 0.000
0.000 0.000 14.078
N Fe Hf Bi
2 1 4 1
Direct
0.000 0.000 0.270
0.000 0.000 0.730
0.667 0.333 0.500
0.667 0.333 0.178
0.333 0.667 0.637
0.333 0.667 0.363
0.667 0.333 0.822
0.333 0.667 0.000

[7]
SmDyZn2Pb2 (PBE-GGA, relaxed); ΔE to the lowest computed polymorph = 0 kJ/mol of formula units; SG = P6_3/mmc, No. 194
1.0
-1.374 0.062 -4.397
3.037 -3.160 1.420
-12.143 -10.026 3.652
Zn Pb Dy Sm
4 4 2 2
Direct
0.333 0.667 0.166
0.667 0.333 0.834
0.333 0.667 0.334
0.667 0.333 0.666
0.333 0.667 0.612
0.333 0.667 0.888
0.667 0.333 0.112
0.667 0.333 0.388
0.000 0.000 0.250
0.000 0.000 0.750
0.000 0.000 0.000
0.000 0.000 0.500

[8]
LiYSbIr (PBE-GGA, relaxed); ΔE to the lowest computed polymorph = 115 kJ/mol of formula units; SG = F-43m, No. 216
1.0
0.000 3.347 3.347
3.347 0.000 3.347
3.347 3.347 0.000
Sb Y Ir Li
1 1 1 1
Direct
0.250 0.250 0.250
0.500 0.500 0.500
0.000 0.000 0.000
0.750 0.750 0.750

[9]
DyYSbCl2 (PBE-GGA, relaxed); VASP energy = -5.412 eV/atom; SG = P3m1, No. 156
1.0
4.161 0.000 0.000
-2.081 3.604 0.000
0.000 0.000 10.530
Sb Y Cl Dy
1 1 2 1
Direct
0.667 0.333 0.000
0.333 0.667 0.169
0.000 0.000 0.315
0.333 0.667 0.685
0.000 0.000 0.831

[10]
Al8W (PBE-GGA, relaxed); VASP energy = -4.371 eV/atom; SG = P6/mmm, No. 191
1.0
-0.966 -8.232 -3.176
6.054 1.653 6.277
-1.906 -0.540 1.980
Al W
8 1
Direct
0.333 0.667 0.000
0.166 0.332 0.000
0.834 0.166 0.000
0.668 0.834 0.000
0.332 0.166 0.000
0.667 0.333 0.000
0.834 0.668 0.000
0.166 0.834 0.000
0.000 0.000 0.500

[11]
SrCd2InPb (PBE-GGA, relaxed); VASP energy = -2.256 eV/atom; SG = P4/nmm, No. 129
1.0
-4.585 -1.330 1.039
-0.317 -2.275 -4.312
4.237 -10.513 5.235
In Cd Pb Sr
2 4 2 2
Direct
0.000 0.500 0.129
0.500 0.000 0.871
0.000 0.500 0.351
0.000 0.000 0.000
0.500 0.500 0.000
0.500 0.000 0.649
0.000 0.000 0.500
0.500 0.500 0.500
0.000 0.500 0.763
0.500 0.000 0.237

[12]
NdN (PBE-GGA, relaxed); VASP energy = -7.109 eV/atom; SG = P4/mmm, No. 123
1.0
2.191 2.191 0.000
0.000 4.382 0.000
0.000 0.000 3.136
N Nd
1 1
Direct
0.000 0.000 0.000
0.000 0.500 0.500